This record from Alexandria via LeMat-Bulk describes a relaxed In2SiCl crystal. The functional is PBE.

```
In2SiCl
1.0
3.350 0.000 0.000
0.000 5.091 0.000
0.000 0.000 5.570
In Si Cl
2 1 1
Direct
0.000 0.000 0.000
0.500 0.000 0.500
0.000 0.500 0.500
0.500 0.500 0.000
```

* energy relative to the elements, uncorrected: 151 meV/atom
* density of states at the Fermi level: 2.06 states/eV/f.u.
* total DFT energy (no corrections): -3.036 eV per atom
* distance to the lowest polymorph of the same formula: 0.291 eV per atom
* symmetry: No. 47



This record from Alexandria via LeMat-Bulk describes a relaxed InSiCl2 crystal. The functional is PBE.

```
InSiCl2
1.0
-1.794 2.823 4.836
1.794 -2.823 4.836
1.794 2.823 -4.836
In Si Cl
1 1 2
Direct
0.000 0.000 0.000
0.500 0.500 0.000
0.310 0.810 0.500
0.690 0.190 0.500
```

* energy relative to the elements, uncorrected: -269 meV/atom
* density of states at the Fermi level: 1.40 states/eV/f.u.
* total DFT energy (no corrections): -3.233 eV per atom
* distance to the lowest polymorph of the same formula: 0.168 eV per atom
* symmetry: No. 71